[1]
Compound: PmScCdPt
Source: Alexandria via LeMat-Bulk
Functional: PBE
Structure: relaxed

Fermi-level density of states (states/eV/atom): 0.98
E_tot (eV per formula unit): -20.57
Formation enthalpy at 0 K (kJ/mol of atoms): -61.18

Lattice parameters (Å, degrees): 7.121 7.121 7.121 90.00 90.00 90.00
Element x y z (fractional)
Pm  0.000  0.000  0.000
Pm  0.000  0.500  0.500
Pm  0.500  0.000  0.500
Pm  0.500  0.500  0.000
Sc  0.000  0.000  0.500
Sc  0.000  0.500  0.000
Sc  0.500  0.000  0.000
Sc  0.500  0.500  0.500
Cd  0.250  0.250  0.750
Cd  0.250  0.750  0.250
Cd  0.750  0.250  0.250
Cd  0.750  0.750  0.750
Pt  0.250  0.250  0.250
Pt  0.250  0.750  0.750
Pt  0.750  0.250  0.750
Pt  0.750  0.750  0.250

[2]
Compound: SmScB4
Source: Alexandria via LeMat-Bulk
Functional: PBE
Structure: relaxed

Fermi-level density of states (states/eV/atom): 0.37
E_tot (eV per formula unit): -40.85
Formation enthalpy at 0 K (kJ/mol of atoms): -49.72

Lattice parameters (Å, degrees): 6.168 12.015 3.812 90.00 90.00 90.00
Element x y z (fractional)
Sm  0.133  0.152  0.000
Sm  0.367  0.652  0.000
Sm  0.633  0.348  0.000
Sm  0.867  0.848  0.000
Sc  0.139  0.412  0.000
Sc  0.361  0.912  0.000
Sc  0.639  0.088  0.000
Sc  0.861  0.588  0.000
B  0.026  0.694  0.500
B  0.114  0.547  0.500
B  0.130  0.971  0.500
B  0.206  0.812  0.500
B  0.294  0.312  0.500
B  0.370  0.471  0.500
B  0.386  0.047  0.500
B  0.474  0.194  0.500
B  0.526  0.806  0.500
B  0.614  0.953  0.500
B  0.630  0.529  0.500
B  0.706  0.688  0.500
B  0.794  0.188  0.500
B  0.870  0.029  0.500
B  0.886  0.453  0.500
B  0.974  0.306  0.500

[3]
Compound: AcTiSi2O8
Source: Alexandria via LeMat-Bulk
Functional: PBE
Structure: relaxed

Fermi-level density of states (states/eV/atom): 0.48
Raw formation energy (eV/atom): -2.70
E_tot (eV per formula unit): -94.90

Lattice parameters (Å, degrees): 7.942 7.942 7.942 35.09 35.09 35.09
Element x y z (fractional)
Ac  0.000  0.000  0.000
Ti  0.500  0.500  0.500
Si  0.243  0.243  0.243
Si  0.757  0.757  0.757
O  0.117  0.460  0.755
O  0.245  0.540  0.883
O  0.316  0.316  0.316
O  0.460  0.755  0.117
O  0.540  0.883  0.245
O  0.684  0.684  0.684
O  0.755  0.117  0.460
O  0.883  0.245  0.540

[4]
Compound: Ni2OsRh4
Source: Alexandria via LeMat-Bulk
Functional: PBE
Structure: relaxed

Fermi-level density of states (states/eV/atom): 1.55
E_tot (eV per formula unit): -49.52
Formation enthalpy at 0 K (kJ/mol of atoms): 36.96

Lattice parameters (Å, degrees): 6.394 6.394 6.394 109.39 109.39 109.63
Element x y z (fractional)
Ni  0.375  0.247  0.372
Ni  0.753  0.125  0.128
Ni  0.875  0.003  0.628
Ni  0.997  0.625  0.872
Os  0.250  0.750  0.500
Os  0.500  0.500  0.000
Rh  0.126  0.380  0.087
Rh  0.130  0.376  0.587
Rh  0.293  0.039  0.913
Rh  0.457  0.870  0.246
Rh  0.620  0.707  0.746
Rh  0.624  0.211  0.754
Rh  0.789  0.543  0.413
Rh  0.961  0.874  0.254

[5]
Compound: BaHgPb2
Source: Alexandria via LeMat-Bulk
Functional: PBE
Structure: relaxed

Fermi-level density of states (states/eV/atom): 0.36
E_tot (eV per formula unit): -11.10
Formation enthalpy at 0 K (kJ/mol of atoms): -35.25

Lattice parameters (Å, degrees): 9.142 5.333 6.535 90.00 118.35 90.00
Element x y z (fractional)
Ba  0.000  0.000  0.000
Ba  0.500  0.500  0.000
Hg  0.264  0.500  0.291
Hg  0.764  0.000  0.291
Pb  0.229  0.000  0.687
Pb  0.491  0.000  0.473
Pb  0.729  0.500  0.687
Pb  0.991  0.500  0.473

[6]
Compound: LiNpRh4
Source: Alexandria via LeMat-Bulk
Functional: PBE
Structure: relaxed

Fermi-level density of states (states/eV/atom): 1.35
E_tot (eV per formula unit): -45.59
Formation enthalpy at 0 K (kJ/mol of atoms): -21.36

Lattice parameters (Å, degrees): 9.224 3.620 5.738 90.00 107.81 90.00
Element x y z (fractional)
Li  0.000  0.000  0.000
Li  0.500  0.500  0.000
Np  0.000  0.000  0.500
Np  0.500  0.500  0.500
Rh  0.155  0.500  0.320
Rh  0.162  0.500  0.840
Rh  0.338  0.000  0.160
Rh  0.345  0.000  0.680
Rh  0.655  0.000  0.320
Rh  0.662  0.000  0.840
Rh  0.838  0.500  0.160
Rh  0.845  0.500  0.680

[7]
Compound: Dy5HoPb4
Source: Alexandria via LeMat-Bulk
Functional: PBE
Structure: relaxed

Fermi-level density of states (states/eV/atom): 0.91
E_tot (eV per formula unit): -44.41
Formation enthalpy at 0 K (kJ/mol of atoms): -19.16

Lattice parameters (Å, degrees): 8.998 8.998 9.762 92.10 92.10 23.44
Element x y z (fractional)
Dy  0.000  0.000  0.000
Dy  0.309  0.309  0.112
Dy  0.345  0.345  0.743
Dy  0.655  0.655  0.257
Dy  0.691  0.691  0.888
Ho  0.000  0.000  0.500
Pb  0.182  0.182  0.568
Pb  0.474  0.474  0.250
Pb  0.526  0.526  0.750
Pb  0.818  0.818  0.432

[8]
Compound: TbScGa2Cu2
Source: Alexandria via LeMat-Bulk
Functional: PBE
Structure: relaxed

Fermi-level density of states (states/eV/atom): 0.70
E_tot (eV per formula unit): -28.30
Formation enthalpy at 0 K (kJ/mol of atoms): -49.64

Lattice parameters (Å, degrees): 4.300 4.300 6.824 90.00 90.00 120.00
Element x y z (fractional)
Tb  0.000  0.000  0.000
Sc  0.000  0.000  0.500
Ga  0.333  0.667  0.282
Ga  0.667  0.333  0.718
Cu  0.333  0.667  0.710
Cu  0.667  0.333  0.290

The highest Fermi-level density of states belongs to which entry? Ni2OsRh4